1.
This record from Alexandria via LeMat-Bulk describes an optimized crystal structure of SrMnAg2Cl8. The functional is GGA-PBE.

Cell lengths 6.2614, 6.2924, 8.1954 Å; angles 85.30, 83.25, 87.80 degrees
Last column: nearest neighbours and their distance in Å.
Space group P-1 (No. 2)
Symmetry-distinct sites (fractional):
Sr 0.0000 0.0000 0.0000 (multiplicity 1)  6 Cl 2.85-2.98
Mn 0.0000 0.0000 0.5000 (multiplicity 1)  6 Cl 2.29-2.33
Ag 0.4409 0.4494 0.2435 (multiplicity 2)  3 Cl 2.52-2.70
Cl 0.1876 0.8084 0.6956 (multiplicity 2)  1 Mn 2.33
Cl 0.2239 0.8498 0.2910 (multiplicity 2)  1 Mn 2.32
Cl 0.2303 0.2756 0.4971 (multiplicity 2)  1 Mn 2.29, 1 Ag 2.52
Cl 0.2934 0.3400 0.9655 (multiplicity 2)  2 Ag 2.57-2.70, 1 Sr 2.85

Output
Uncorrected formation energy: -104.2 kJ/mol of atoms

---

2.
This record from Alexandria via LeMat-Bulk describes an optimized crystal structure of Bi2RuRh. The functional is GGA-PBE.

Cell lengths 6.1221, 6.1221, 12.0870 Å; angles 90.00, 90.00, 90.00 degrees
Last column: nearest neighbours and their distance in Å.
Space group I-42d (No. 122)
Symmetry-distinct sites (fractional):
Bi 0.2478 0.2500 0.1250 (multiplicity 8)  2 Ru 2.63, 2 Rh 2.65
Ru 0.0000 0.0000 0.0000 (multiplicity 4)  4 Bi 2.63
Rh 0.0000 0.0000 0.5000 (multiplicity 4)  4 Bi 2.65

Output
Calculated formation energy: 0.56 eV per atom
ΔE to the lowest computed polymorph: 274 meV per atom

---

3.
This record from Alexandria via LeMat-Bulk describes an optimized crystal structure of ReSeBr. The functional is GGA-PBE.

Cell lengths 6.6535, 6.6535, 6.6535 Å; angles 90.00, 90.00, 90.00 degrees
Last column: nearest neighbours and their distance in Å.
Space group F-43m (No. 216)
Symmetry-distinct sites (fractional):
Re 0.0000 0.0000 0.0000 (multiplicity 4)  4 Se 2.88
Se 0.2500 0.2500 0.2500 (multiplicity 4)  4 Re 2.88, 4 Br 2.88
Br 0.0000 0.0000 0.5000 (multiplicity 4)  4 Se 2.88

Output
Uncorrected formation energy: 156.8 kJ/mol of atoms
ΔE to the lowest computed polymorph: 1507 meV per atom

---

4.
This record from Alexandria via LeMat-Bulk describes an optimized crystal structure of LiPm2Pb. The functional is GGA-PBE.

Cell lengths 7.6551, 7.6551, 7.6551 Å; angles 90.00, 90.00, 90.00 degrees
Last column: nearest neighbours and their distance in Å.
Space group Fm-3m (No. 225)
Symmetry-distinct sites (fractional):
Li 0.0000 0.0000 0.0000 (multiplicity 4)  8 Pm 3.31
Pm 0.2500 0.2500 0.2500 (multiplicity 8)  4 Pb 3.31, 4 Li 3.31
Pb 0.0000 0.0000 0.5000 (multiplicity 4)  8 Pm 3.31

Output
Calculated formation energy: -0.32 eV per atom

---

5.
This record from Alexandria via LeMat-Bulk describes an optimized crystal structure of Np3Tl4CuTe8. The functional is GGA-PBE.

Cell lengths 15.2380, 8.7881, 9.6207 Å; angles 90.00, 121.88, 90.00 degrees
Last column: nearest neighbours and their distance in Å.
Space group C2/m (No. 12)
Symmetry-distinct sites (fractional):
Np 0.0000 0.0000 0.0000 (multiplicity 2)  6 Te 3.07-3.09
Np 0.2500 0.2500 0.0000 (multiplicity 4)  6 Te 3.07-3.09
Tl 0.0000 0.0000 0.5000 (multiplicity 2)  6 Te 3.57-3.58
Tl 0.0000 0.5000 0.5000 (multiplicity 2)  6 Te 3.44-3.48
Tl 0.2500 0.2500 0.5000 (multiplicity 4)  6 Te 3.44-3.48
Cu 0.0000 0.5000 0.0000 (multiplicity 2)  6 Te 2.96-2.97
Te 0.0127 0.2589 0.7969 (multiplicity 8)  1 Cu 2.96, 2 Np 3.07
Te 0.2293 0.5000 0.2039 (multiplicity 4)  1 Cu 2.97, 2 Np 3.07
Te 0.2387 0.0000 0.2162 (multiplicity 4)  3 Np 3.09, 3 Tl 3.44

Output
Uncorrected formation energy: -40.8 kJ/mol of atoms

---

6.
This record from Alexandria via LeMat-Bulk describes an optimized crystal structure of Tb4Bi3H. The functional is GGA-PBE.

Cell lengths 9.8668, 8.3686, 6.3341 Å; angles 90.00, 90.00, 90.00 degrees
Last column: nearest neighbours and their distance in Å.
Space group Pmn2_1 (No. 31)
Symmetry-distinct sites (fractional):
Tb 0.0000 0.0935 0.9999 (multiplicity 2)  1 H 2.36
Tb 0.0000 0.8311 0.4864 (multiplicity 2)  1 H 2.30
Tb 0.1961 0.7106 0.0000 (multiplicity 4)  1 H 2.39
Bi 0.0000 0.1936 0.5031 (multiplicity 2)  5 Tb 3.04-3.30
Bi 0.2317 0.3434 0.0022 (multiplicity 4)  5 Tb 3.03-3.29
H 0.0000 0.8348 0.8497 (multiplicity 2)  4 Tb 2.30-2.39

Output
Electronic total energy: -4.58 eV per atom

---

7.
This record from Alexandria via LeMat-Bulk describes an optimized crystal structure of NdEuNiPd. The functional is GGA-PBE.

Cell lengths 7.1290, 7.1290, 7.1290 Å; angles 90.00, 90.00, 90.00 degrees
Last column: nearest neighbours and their distance in Å.
Space group F-43m (No. 216)
Symmetry-distinct sites (fractional):
Nd 0.0000 0.0000 0.0000 (multiplicity 4)  4 Ni 3.09, 4 Pd 3.09
Eu 0.0000 0.0000 0.5000 (multiplicity 4)  4 Ni 3.09, 4 Pd 3.09
Ni 0.2500 0.2500 0.7500 (multiplicity 4)  4 Nd 3.09, 4 Eu 3.09
Pd 0.2500 0.2500 0.2500 (multiplicity 4)  4 Nd 3.09, 4 Eu 3.09

Output
Calculated formation energy: -0.41 eV per atom

---

8.
This record from Alexandria via LeMat-Bulk describes an optimized crystal structure of NdThPt10. The functional is GGA-PBE.

Cell lengths 4.4519, 5.4256, 9.3488 Å; angles 90.00, 90.00, 90.00 degrees
Last column: nearest neighbours and their distance in Å.
Space group Pmmm (No. 47)
Symmetry-distinct sites (fractional):
Nd 0.0000 0.0000 0.0000 (multiplicity 1)  6 Pt 3.12-3.14
Th 0.0000 0.5000 0.5000 (multiplicity 1)  6 Pt 3.10-3.12
Pt 0.0000 0.0000 0.3342 (multiplicity 2)  6 Pt 2.71-2.72
Pt 0.0000 0.5000 0.1687 (multiplicity 2)  6 Pt 2.72-2.73
Pt 0.5000 0.0000 0.5000 (multiplicity 1)  8 Pt 2.69-2.71
Pt 0.5000 0.2520 0.2521 (multiplicity 4)  8 Pt 2.69-2.73
Pt 0.5000 0.5000 0.0000 (multiplicity 1)  8 Pt 2.71-2.73

Output
Calculated formation energy: -0.76 eV per atom

---

9.
This record from Alexandria via LeMat-Bulk describes an optimized crystal structure of K3SmSc2Te6. The functional is GGA-PBE.

Cell lengths 7.6199, 13.2011, 8.5997 Å; angles 90.00, 107.25, 90.00 degrees
Last column: nearest neighbours and their distance in Å.
Space group C2/m (No. 12)
Symmetry-distinct sites (fractional):
K 0.0000 0.0000 0.0000 (multiplicity 2)  6 Te 3.45-3.57
K 0.0000 0.3380 0.0000 (multiplicity 4)  6 Te 3.47-3.57
Sm 0.0000 0.5000 0.5000 (multiplicity 2)  6 Te 3.14
Sc 0.0000 0.1674 0.5000 (multiplicity 4)  6 Te 2.98-2.99
Te 0.2177 0.0000 0.7015 (multiplicity 4)  2 Sc 2.99, 1 Sm 3.14
Te 0.2426 0.3253 0.7029 (multiplicity 8)  2 Sc 2.98-2.99, 1 Sm 3.14

Output
Uncorrected formation energy: -125.4 kJ/mol of atoms

---

10.
This record from Alexandria via LeMat-Bulk describes an optimized crystal structure of TlS2I. The functional is GGA-PBE.

Cell lengths 4.1871, 4.1871, 24.0676 Å; angles 90.00, 90.00, 120.00 degrees
Last column: nearest neighbours and their distance in Å.
Space group R-3m (No. 166, hexagonal axes)
Symmetry-distinct sites (fractional):
Tl 0.0000 0.0000 0.0000 (multiplicity 3)  6 S 2.79
S 0.0000 0.0000 0.3911 (multiplicity 6)  1 I 2.62, 3 Tl 2.79
I 0.0000 0.0000 0.5000 (multiplicity 3)  2 S 2.62

Output
Uncorrected formation energy: 4.0 kJ/mol of atoms
ΔE to the lowest computed polymorph: 0 meV per atom

---

11.
This record from Alexandria via LeMat-Bulk describes an optimized crystal structure of La2TcGe6. The functional is GGA-PBE.

Cell lengths 6.8567, 4.4170, 6.8618 Å; angles 90.00, 105.07, 90.00 degrees
Last column: nearest neighbours and their distance in Å.
Space group P2/m (No. 10)
Symmetry-distinct sites (fractional):
La 0.2373 0.0000 0.2623 (multiplicity 2)  10 Ge 3.21-3.39
Tc 0.5000 0.5000 0.0000 (multiplicity 1)  8 Ge 2.58-2.72
Ge 0.1104 0.5000 0.8750 (multiplicity 2)  3 Ge 2.57-2.69, 1 Tc 2.58
Ge 0.3086 0.0000 0.8097 (multiplicity 2)  4 Ge 2.69-2.70, 2 Tc 2.72
Ge 0.3756 0.5000 0.6114 (multiplicity 2)  3 Ge 2.57-2.70, 1 Tc 2.58

Output
Calculated formation energy: -0.37 eV per atom

---

12.
This record from Alexandria via LeMat-Bulk describes an optimized crystal structure of Pr2Rh3Pb. The functional is GGA-PBE.

Cell lengths 4.7908, 5.6146, 10.1824 Å; angles 90.00, 90.00, 90.00 degrees
Last column: nearest neighbours and their distance in Å.
Space group Immm (No. 71)
Symmetry-distinct sites (fractional):
Pr 0.0000 0.0000 0.1788 (multiplicity 4)  6 Rh 2.84-3.03
Rh 0.0000 0.5000 0.1392 (multiplicity 4)  2 Pb 2.78, 1 Rh 2.83, 4 Pr 2.84-3.03
Rh 0.0000 0.5000 0.5000 (multiplicity 2)  2 Pb 2.81, 4 Pr 3.01
Pb 0.0000 0.0000 0.5000 (multiplicity 2)  6 Rh 2.78-2.81

Output
Calculated formation energy: -0.31 eV per atom